The following is a DFT calculation (PBE-GGA) of a relaxed structure of CaPmNdSc.

Fermi-level density of states   20.84 states/eV per cell
Final energy   -69.273 eV for the cell shown
DFT formation energy   133 meV per atom

Geometry as CIF:
```
data_CaPmNdSc
_symmetry_space_group_name_H-M 'F -4 3 m'
_symmetry_Int_Tables_number 216
_symmetry_space_group_name_Hall 'F -4 2 3'
_cell_length_a 8.070
_cell_length_b 8.070
_cell_length_c 8.070
_cell_angle_alpha 90.00
_cell_angle_beta 90.00
_cell_angle_gamma 90.00
loop_
_atom_site_label
_atom_site_fract_x
_atom_site_fract_y
_atom_site_fract_z
Ca1 0.000 0.000 0.000
Pm1 0.250 0.250 0.750
Nd1 0.250 0.250 0.250
Sc1 0.000 0.000 0.500
```